[1]
This record from the Alexandria database describes a relaxed La2OsCl crystal. The functional is GGA-PBE.

The total energy comes out at -79.24 eV/cell. The formation energy without anion corrections is -0.871 eV/atom. Its size of the total moment is 0.000 μB/f.u.

It has space group R3m (No. 160, hexagonal axes), with a = 4.1510 Å, b = 4.1510 Å, c = 23.2807 Å, α = 90.00°, β = 90.00° and γ = 120.00°. The asymmetric unit holds La at (0.0000, 0.0000, 0.0000), La at (0.0000, 0.0000, 0.1997), Os at (0.0000, 0.0000, 0.5996) and Cl at (0.0000, 0.0000, 0.7703).

***

[2]
This record from the Alexandria database describes a relaxed La2OsCl crystal. The functional is GGA-PBE.

The total energy comes out at -79.65 eV/cell. The formation energy without anion corrections is -0.905 eV/atom. Its size of the total moment is 0.000 μB/f.u.

It has space group R-3m (No. 166, hexagonal axes), with a = 4.1836 Å, b = 4.1836 Å, c = 22.7085 Å, α = 90.00°, β = 90.00° and γ = 120.00°. The asymmetric unit holds La at (0.0000, 0.0000, 0.2343), Os at (0.0000, 0.0000, 0.5000) and Cl at (0.0000, 0.0000, 0.0000).

***

[3]
This record from the Alexandria database describes a relaxed La2OsCl crystal. The functional is GGA-PBE.

The total energy comes out at -100.73 eV/cell. The formation energy without anion corrections is -0.563 eV/atom. Its size of the total moment is 0.000 μB/f.u.

It has space group Fm-3m (No. 225), with a = 7.246 Å, b = 7.246 Å, c = 7.246 Å, α = 90.00°, β = 90.00° and γ = 90.00°. The asymmetric unit holds La at (0.250, 0.250, 0.250), Os at (0.000, 0.000, 0.000) and Cl at (0.000, 0.000, 0.500).